Entry from Alexandria via LeMat-Bulk: a geometry-optimized AlAs2PbSe structure (GGA-PBE).

The value obtained for the energy above the lowest structure with this stoichiometry is 807.3 meV per atom. The density of states at the Fermi level is 0.97 states/eV per atom. The value obtained for the volume is 163 Å³/cell. The calculation puts the uncorrected formation energy at 0.948 eV/atom.

It has space group P4/mmm (No. 123), with a = 5.4344 Å, b = 5.4344 Å, c = 5.5078 Å, α = 90.00°, β = 90.00° and γ = 90.00°. Symmetry generates all atoms from Al at (0.0000, 0.0000, 0.0000), As at (0.0000, 0.5000, 0.5000), Pb at (0.5000, 0.5000, 0.5000) and Se at (0.5000, 0.5000, 0.0000).